A plane-wave DFT calculation with PBE was carried out for a geometry-optimized AgGeI4 structure.

```
data_AgGeI4
_chemical_formula_sum 'Ag4 Ge4 I16'
_space_group_name_H-M_alt 'C 1 2/m 1'
_space_group_IT_number 12
_cell_length_a 16.969
_cell_length_b 5.809
_cell_length_c 10.574
_cell_angle_alpha 90.00
_cell_angle_beta 101.83
_cell_angle_gamma 90.00
loop_
_space_group_symop_operation_xyz
'x,y,z'
'-x,-y,-z'
'-x,y,-z'
'x,-y,z'
'x+1/2,y+1/2,z'
'-x+1/2,-y+1/2,-z'
'-x+1/2,y+1/2,-z'
'x+1/2,-y+1/2,z'
loop_
_atom_site_label
_atom_site_fract_x
_atom_site_fract_y
_atom_site_fract_z
Ag1 0.231 0.000 0.344
Ge1 0.104 0.000 0.733
I1 0.067 0.000 0.347
I2 0.108 0.500 0.673
I3 0.133 0.000 0.983
I4 0.228 0.500 0.324
```

Values from the calculation:
**V**: 42.51 Å³/atom
**Crystal system**: monoclinic
**ΔE_f (raw)**: -160 meV per atom
**Energy above the most stable polymorph in this dataset**: 25.1 meV per atom

A plane-wave DFT calculation with PBE was carried out for a geometry-optimized Ag2GeI6 structure.

```
data_Ag2GeI6
_chemical_formula_sum 'Ag4 Ge2 I12'
_space_group_name_H-M_alt 'P 1 21/c 1'
_space_group_IT_number 14
_cell_length_a 7.601
_cell_length_b 6.975
_cell_length_c 13.892
_cell_angle_alpha 90.00
_cell_angle_beta 118.93
_cell_angle_gamma 90.00
loop_
_space_group_symop_operation_xyz
'x,y,z'
'-x,-y,-z'
'-x,y+1/2,-z+1/2'
'x,-y+1/2,z+1/2'
loop_
_atom_site_label
_atom_site_fract_x
_atom_site_fract_y
_atom_site_fract_z
Ag1 0.197 0.039 0.233
Ge1 0.500 0.000 0.000
I1 0.181 0.632 0.284
I2 0.222 0.202 0.049
I3 0.434 0.675 0.089
```

Values from the calculation:
**V**: 35.81 Å³/atom
**Crystal system**: monoclinic
**ΔE_f (raw)**: -122 meV per atom

A plane-wave DFT calculation with PBE was carried out for a geometry-optimized AgGeI3 structure.

```
data_AgGeI3
_chemical_formula_sum 'Ag1 Ge1 I3'
_space_group_name_H-M_alt 'P m -3 m'
_space_group_IT_number 221
_space_group_name_Hall '-P 4 2 3'
_cell_length_a 5.658
_cell_length_b 5.658
_cell_length_c 5.658
_cell_angle_alpha 90.00
_cell_angle_beta 90.00
_cell_angle_gamma 90.00
loop_
_atom_site_label
_atom_site_fract_x
_atom_site_fract_y
_atom_site_fract_z
Ag1 0.000 0.000 0.000
Ge1 0.500 0.500 0.500
I1 0.000 0.000 0.500
```

Values from the calculation:
**V**: 36.22 Å³/atom
**Crystal system**: cubic
**ΔE_f (raw)**: 343 meV per atom
**Energy above the most stable polymorph in this dataset**: 597.2 meV per atom

A plane-wave DFT calculation with PBE was carried out for a geometry-optimized AgGeI2 structure.

```
data_AgGeI2
_chemical_formula_sum 'Ag4 Ge4 I8'
_space_group_name_H-M_alt 'F m -3 m'
_space_group_IT_number 225
_space_group_name_Hall '-F 4 2 3'
_cell_length_a 7.614
_cell_length_b 7.614
_cell_length_c 7.614
_cell_angle_alpha 90.00
_cell_angle_beta 90.00
_cell_angle_gamma 90.00
loop_
_atom_site_label
_atom_site_fract_x
_atom_site_fract_y
_atom_site_fract_z
Ag1 0.000 0.000 0.000
Ge1 0.000 0.000 0.500
I1 0.250 0.250 0.250
```

Values from the calculation:
**V**: 27.59 Å³/atom
**Crystal system**: cubic
**ΔE_f (raw)**: 265 meV per atom
**Energy above the most stable polymorph in this dataset**: 80.7 meV per atom

A plane-wave DFT calculation with PBE was carried out for a geometry-optimized AgGe2I2 structure.

```
data_AgGe2I2
_chemical_formula_sum 'Ag2 Ge4 I4'
_space_group_name_H-M_alt 'P 4/m b m'
_space_group_IT_number 127
_space_group_name_Hall '-P 4 2ab'
_cell_length_a 8.583
_cell_length_b 8.583
_cell_length_c 3.798
_cell_angle_alpha 90.00
_cell_angle_beta 90.00
_cell_angle_gamma 90.00
loop_
_atom_site_label
_atom_site_fract_x
_atom_site_fract_y
_atom_site_fract_z
Ag1 0.000 0.000 0.000
Ge1 0.161 0.339 0.500
I1 0.154 0.654 0.000
```

Values from the calculation:
**V**: 27.98 Å³/atom
**Crystal system**: tetragonal
**ΔE_f (raw)**: 546 meV per atom
**Energy above the most stable polymorph in this dataset**: 338.7 meV per atom

A plane-wave DFT calculation with PBE was carried out for a geometry-optimized AgGeI2 structure.

```
data_AgGeI2
_chemical_formula_sum 'Ag3 Ge3 I6'
_space_group_name_H-M_alt 'R -3 m'
_space_group_IT_number 166
_space_group_name_Hall '-R 3 2"'
_cell_length_a 4.1890
_cell_length_b 4.1890
_cell_length_c 28.6324
_cell_angle_alpha 90.00
_cell_angle_beta 90.00
_cell_angle_gamma 120.00
loop_
_atom_site_label
_atom_site_fract_x
_atom_site_fract_y
_atom_site_fract_z
Ag1 0.0000 0.0000 0.0000
Ge1 0.0000 0.0000 0.5000
I1 0.0000 0.0000 0.1009
```

Values from the calculation:
**V**: 36.26 Å³/atom
**Crystal system**: trigonal
**ΔE_f (raw)**: 192 meV per atom
**Energy above the most stable polymorph in this dataset**: 8.0 meV per atom

| no. | spin magnetization (μB per atom) |
| --- | --- |
| 1 | 0.000 |
| 2 | 0.000 |
| 3 | 0.106 |
| 4 | 0.000 |
| 5 | 0.000 |
| 6 | 0.000 |